A relaxed structure of Pr12Nd3Dy, computed with PBE-GGA.

abc: 5.2287 5.2287 20.8841
angles: 90.00 90.00 90.00
With the nearest neighbours (Å) after each atom.
Sites, in units of the cell vectors:
Pr 0.5000 0.5000 0.5000  4 Nd 3.70, 8 Pr 3.70
Pr 0.5000 0.5000 0.0000  8 Pr 3.67, 4 Dy 3.70
Pr 0.5000 0.0000 0.6255  8 Pr 3.70-3.71, 4 Nd 3.70
Pr 0.0000 0.5000 0.8766  2 Dy 3.67, 8 Pr 3.67-3.70, 2 Nd 3.70
Pr 0.0000 0.5000 0.6255  8 Pr 3.70-3.71, 4 Nd 3.70
Pr 0.0000 0.5000 0.3745  8 Pr 3.70-3.71, 4 Nd 3.70
Pr 0.5000 0.5000 0.7515  8 Pr 3.70-3.71, 4 Nd 3.70
Pr 0.5000 0.0000 0.1234  8 Pr 3.67-3.70, 2 Dy 3.67, 2 Nd 3.70
Pr 0.5000 0.0000 0.3745  8 Pr 3.70-3.71, 4 Nd 3.70
Pr 0.0000 0.5000 0.1234  8 Pr 3.67-3.70, 2 Dy 3.67, 2 Nd 3.70
Pr 0.5000 0.0000 0.8766  2 Dy 3.67, 8 Pr 3.67-3.70, 2 Nd 3.70
Pr 0.5000 0.5000 0.2485  8 Pr 3.70-3.71, 4 Nd 3.70
Nd 0.0000 0.0000 0.5000  12 Pr 3.70
Nd 0.0000 0.0000 0.2488  12 Pr 3.70
Nd 0.0000 0.0000 0.7512  12 Pr 3.70
Dy 0.0000 0.0000 0.0000  12 Pr 3.67-3.70

As for the electronic total energy: -4.76 eV per atom. As for the space group: No. 123. Its formation energy is 10 meV/atom.



A relaxed structure of Pr3Nd8Dy2, computed with PBE-GGA.

abc: 6.2616 8.9569 8.9569
angles: 83.71 72.94 72.94
With the nearest neighbours (Å) after each atom.
Sites, in units of the cell vectors:
Pr 0.5000 0.0000 0.0000  2 Nd 3.24, 2 Dy 3.60
Pr 0.0000 0.2431 0.7569  6 Nd 3.51-3.65
Pr 0.0000 0.7569 0.2431  6 Nd 3.51-3.65
Nd 0.3252 0.9183 0.4306  2 Dy 3.46-3.67, 4 Nd 3.51-3.77, 2 Pr 3.65-3.74
Nd 0.9500 0.1550 0.1550  3 Pr 3.24-3.51, 1 Dy 3.43, 1 Nd 3.58
Nd 0.6748 0.0817 0.5694  2 Dy 3.46-3.67, 4 Nd 3.51-3.77, 2 Pr 3.65-3.74
Nd 0.2138 0.5561 0.5561  5 Nd 3.30-3.58, 2 Dy 3.32-3.35, 2 Pr 3.54
Nd 0.7862 0.4439 0.4439  5 Nd 3.30-3.58, 2 Dy 3.32-3.35, 2 Pr 3.54
Nd 0.6748 0.5694 0.0817  2 Dy 3.46-3.67, 4 Nd 3.51-3.77, 2 Pr 3.65-3.74
Nd 0.3252 0.4306 0.9183  2 Dy 3.46-3.67, 4 Nd 3.51-3.77, 2 Pr 3.65-3.74
Nd 0.0500 0.8450 0.8450  3 Pr 3.24-3.51, 1 Dy 3.43, 1 Nd 3.58
Dy 0.6435 0.7110 0.7110  8 Nd 3.32-3.67, 1 Pr 3.60
Dy 0.3565 0.2890 0.2890  8 Nd 3.32-3.67, 1 Pr 3.60

As for the electronic total energy: -4.60 eV per atom. As for the space group: No. 12. Its formation energy is 149 meV/atom.



A relaxed structure of PrNdDy6, computed with PBE-GGA.

abc: 5.0636 5.0636 10.1190
angles: 90.00 90.00 90.00
With the nearest neighbours (Å) after each atom.
Sites, in units of the cell vectors:
Dy 0.0000 0.5000 0.7493  8 Dy 3.57-3.58, 2 Nd 3.57, 2 Pr 3.58
Dy 0.5000 0.0000 0.2507  8 Dy 3.57-3.58, 2 Nd 3.57, 2 Pr 3.58
Dy 0.5000 0.5000 0.5000  8 Dy 3.57, 4 Nd 3.58
Dy 0.0000 0.5000 0.2507  8 Dy 3.57-3.58, 2 Nd 3.57, 2 Pr 3.58
Dy 0.5000 0.0000 0.7493  8 Dy 3.57-3.58, 2 Nd 3.57, 2 Pr 3.58
Dy 0.5000 0.5000 0.0000  4 Pr 3.58, 8 Dy 3.58
Pr 0.0000 0.0000 0.0000  12 Dy 3.58
Nd 0.0000 0.0000 0.5000  12 Dy 3.57-3.58

As for the electronic total energy: -4.62 eV per atom. As for the space group: No. 123. Its formation energy is 21 meV/atom.



A relaxed structure of PrNdDy, computed with PBE-GGA.

abc: 3.6542 3.6542 8.1464
angles: 102.96 102.96 90.00
With the nearest neighbours (Å) after each atom.
Sites, in units of the cell vectors:
Nd 0.0023 0.0023 0.0047  4 Dy 3.62, 4 Nd 3.65, 4 Pr 3.69
Pr 0.3315 0.3315 0.6629  4 Dy 3.63, 4 Pr 3.65, 4 Nd 3.69
Dy 0.6662 0.6662 0.3324  4 Nd 3.62, 4 Pr 3.63, 4 Dy 3.65

As for the electronic total energy: -4.69 eV per atom. As for the space group: No. 107. Its formation energy is 22 meV/atom.



A relaxed structure of Pr3Nd5Dy2, computed with PBE-GGA.

abc: 6.6064 11.1564 11.1564
angles: 102.34 72.78 72.78
With the nearest neighbours (Å) after each atom.
Sites, in units of the cell vectors:
Nd 0.9991 0.2509 0.2509  5 Nd 3.07-3.38, 1 Pr 3.09
Nd 0.4991 0.2509 0.2509  5 Nd 3.07-3.38, 1 Pr 3.09
Nd 0.5009 0.7491 0.7491  5 Nd 3.07-3.38, 1 Pr 3.09
Nd 0.2378 0.9314 0.5930  2 Nd 3.38, 1 Pr 3.40, 3 Dy 3.51-3.75
Nd 0.2622 0.4070 0.0686  2 Nd 3.38, 1 Pr 3.40, 3 Dy 3.51-3.75
Nd 0.0009 0.7491 0.7491  5 Nd 3.07-3.38, 1 Pr 3.09
Nd 0.7622 0.0686 0.4070  2 Nd 3.38, 1 Pr 3.40, 3 Dy 3.51-3.75
Nd 0.7500 0.5000 0.5000  4 Nd 3.07-3.30
Nd 0.2500 0.5000 0.5000  4 Nd 3.07-3.30
Nd 0.7378 0.5930 0.9314  2 Nd 3.38, 1 Pr 3.40, 3 Dy 3.51-3.75
Pr 0.4173 0.4136 0.7519  3 Nd 3.40-3.52, 1 Dy 3.56
Pr 0.2500 0.0000 0.0000  2 Nd 3.09, 2 Pr 3.30
Pr 0.5827 0.5864 0.2481  3 Nd 3.40-3.52, 1 Dy 3.56
Pr 0.9173 0.7519 0.4136  3 Nd 3.40-3.52, 1 Dy 3.56
Pr 0.7500 0.0000 0.0000  2 Nd 3.09, 2 Pr 3.30
Pr 0.0827 0.2481 0.5864  3 Nd 3.40-3.52, 1 Dy 3.56
Dy 0.5932 0.0749 0.7386  5 Nd 3.51-3.88, 3 Pr 3.55-3.56
Dy 0.0932 0.7386 0.0749  5 Nd 3.51-3.88, 3 Pr 3.55-3.56
Dy 0.9068 0.2614 0.9251  5 Nd 3.51-3.88, 3 Pr 3.55-3.56
Dy 0.4068 0.9251 0.2614  5 Nd 3.51-3.88, 3 Pr 3.55-3.56

As for the electronic total energy: -4.47 eV per atom. As for the space group: No. 72. Its formation energy is 268 meV/atom.



A relaxed structure of PrNd3Dy2, computed with PBE-GGA.

abc: 7.2770 6.3029 12.0739
angles: 110.35 90.00 125.26
With the nearest neighbours (Å) after each atom.
Sites, in units of the cell vectors:
Nd 0.7083 0.6666 0.4165  5 Dy 3.63-3.65, 4 Nd 3.64, 3 Pr 3.64
Nd 0.3748 0.0000 0.7500  6 Dy 3.63-3.65, 4 Nd 3.64, 2 Pr 3.64
Nd 0.2917 0.3334 0.5835  5 Dy 3.63-3.65, 4 Nd 3.64, 3 Pr 3.64
Nd 0.9583 0.6666 0.9165  5 Dy 3.63-3.65, 4 Nd 3.64, 3 Pr 3.64
Nd 0.6252 0.0000 0.2500  6 Dy 3.63-3.65, 4 Nd 3.64, 2 Pr 3.64
Nd 0.0417 0.3334 0.0835  5 Dy 3.63-3.65, 4 Nd 3.64, 3 Pr 3.64
Dy 0.2093 0.6680 0.4179  2 Dy 3.62-3.63, 8 Nd 3.63-3.65, 2 Pr 3.65
Dy 0.7907 0.3320 0.5821  2 Dy 3.62-3.63, 8 Nd 3.63-3.65, 2 Pr 3.65
Dy 0.5412 0.3319 0.0821  2 Dy 3.62-3.63, 8 Nd 3.63-3.65, 2 Pr 3.65
Dy 0.4588 0.6681 0.9179  2 Dy 3.62-3.63, 8 Nd 3.63-3.65, 2 Pr 3.65
Pr 0.1254 0.0000 0.2500  8 Nd 3.64, 4 Dy 3.65
Pr 0.8746 0.0000 0.7500  8 Nd 3.64, 4 Dy 3.65

As for the electronic total energy: -4.70 eV per atom. As for the space group: No. 15. Its formation energy is 15 meV/atom.



A relaxed structure of Pr7Nd3Dy2, computed with PBE-GGA.

abc: 3.6135 6.5771 18.4782
angles: 75.26 90.00 90.00
With the nearest neighbours (Å) after each atom.
Sites, in units of the cell vectors:
Nd 0.5000 0.5000 0.0000  2 Nd 3.61, 10 Pr 3.71-3.75
Nd 0.0000 0.8838 0.6613  2 Nd 3.61, 7 Pr 3.69-3.83, 4 Dy 3.70-3.81
Nd 0.0000 0.1162 0.3387  2 Nd 3.61, 7 Pr 3.69-3.83, 4 Dy 3.70-3.81
Pr 0.5000 0.7612 0.4947  2 Pr 3.20-3.39, 2 Dy 3.42-3.53
Pr 0.0000 0.0000 0.0000  8 Pr 3.61-3.72, 4 Nd 3.75
Pr 0.0000 0.5586 0.1689  2 Dy 3.58, 7 Pr 3.61-3.78, 3 Nd 3.70-3.71
Pr 0.5000 0.2388 0.5053  2 Pr 3.20-3.39, 2 Dy 3.42-3.53
Pr 0.5000 0.0526 0.1705  1 Dy 3.57, 8 Pr 3.61-3.78, 3 Nd 3.71-3.72
Pr 0.0000 0.4414 0.8311  2 Dy 3.58, 7 Pr 3.61-3.78, 3 Nd 3.70-3.71
Pr 0.5000 0.9474 0.8295  1 Dy 3.57, 8 Pr 3.61-3.78, 3 Nd 3.71-3.72
Dy 0.5000 0.6128 0.3304  5 Pr 3.42-3.58, 2 Dy 3.61, 4 Nd 3.70-3.81
Dy 0.5000 0.3872 0.6696  5 Pr 3.42-3.58, 2 Dy 3.61, 4 Nd 3.70-3.81

As for the electronic total energy: -4.68 eV per atom. As for the space group: No. 10. Its formation energy is 72 meV/atom.



A relaxed structure of Pr4NdDy4, computed with PBE-GGA.

abc: 5.1388 8.1305 8.1305
angles: 84.27 71.58 71.58
With the nearest neighbours (Å) after each atom.
Sites, in units of the cell vectors:
Dy 0.9999 0.6638 0.3364  5 Dy 3.57-3.60, 6 Pr 3.63-3.65, 1 Nd 3.67
Dy 0.0001 0.3362 0.6636  5 Dy 3.57-3.60, 6 Pr 3.63-3.65, 1 Nd 3.67
Dy 0.3363 0.6636 0.6638  5 Dy 3.57-3.60, 6 Pr 3.63-3.65, 1 Nd 3.67
Dy 0.6637 0.3364 0.3362  5 Dy 3.57-3.60, 6 Pr 3.63-3.65, 1 Nd 3.67
Pr 0.3325 0.9999 0.3351  4 Pr 3.62-3.66, 6 Dy 3.63-3.65, 2 Nd 3.64
Pr 0.6676 0.6649 0.9999  4 Pr 3.62-3.66, 6 Dy 3.63-3.65, 2 Nd 3.64
Pr 0.3324 0.3351 0.0001  4 Pr 3.62-3.66, 6 Dy 3.63-3.65, 2 Nd 3.64
Pr 0.6675 0.0001 0.6649  4 Pr 3.62-3.66, 6 Dy 3.63-3.65, 2 Nd 3.64
Nd 0.0000 0.0000 0.0000  8 Pr 3.64, 4 Dy 3.67

As for the electronic total energy: -4.68 eV per atom. As for the space group: No. 139. Its formation energy is 20 meV/atom.



| no. | volume (Å³/cell) |
| --- | --- |
| 1 | 571.0 |
| 2 | 459.0 |
| 3 | 259.4 |
| 4 | 103.2 |
| 5 | 708.1 |
| 6 | 409.1 |
| 7 | 424.7 |
| 8 | 305.8 |